No. 1
Crystalline RbBa2Cd at its relaxed geometry, computed with PBE-GGA.

a = 4.8333 Å, b = 4.8333 Å, c = 37.5306 Å
α = 90.00°, β = 90.00°, γ = 120.00°
Fractional coordinates of all 12 atoms:
Rb (0.0000, 0.0000, 0.0000)
Rb (0.3333, 0.6667, 0.6667)
Rb (0.6667, 0.3333, 0.3333)
Ba (0.0000, 0.0000, 0.5568)
Ba (0.0000, 0.0000, 0.7758)
Ba (0.3333, 0.6667, 0.2234)
Ba (0.3333, 0.6667, 0.4425)
Ba (0.6667, 0.3333, 0.1091)
Ba (0.6667, 0.3333, 0.8901)
Cd (0.0000, 0.0000, 0.1662)
Cd (0.3333, 0.6667, 0.8329)
Cd (0.6667, 0.3333, 0.4996)

Symmetry: R3m
Fermi-level density of states in states/eV per cell: 17.7
Calculated formation energy in eV/atom: -0.03



No. 2
Crystalline RbBa2Cd at its relaxed geometry, computed with PBE-GGA.

a = 5.8364 Å, b = 5.8364 Å, c = 6.0051 Å
α = 90.00°, β = 90.00°, γ = 90.00°
Fractional coordinates of all 4 atoms:
Rb (0.0000, 0.0000, 0.0000)
Ba (0.0000, 0.5000, 0.5000)
Ba (0.5000, 0.0000, 0.5000)
Cd (0.5000, 0.5000, 0.0000)

Symmetry: P4/mmm
Fermi-level density of states in states/eV per cell: 5.6
Calculated formation energy in eV/atom: 0.08



No. 3
Crystalline Rb2BaCd2 at its relaxed geometry, computed with PBE-GGA.

a = 9.0823 Å, b = 9.0823 Å, c = 6.0538 Å
α = 90.00°, β = 90.00°, γ = 90.00°
Fractional coordinates of all 10 atoms:
Rb (0.1706, 0.3294, 0.0000)
Rb (0.3294, 0.8294, 0.0000)
Rb (0.6706, 0.1706, 0.0000)
Rb (0.8294, 0.6706, 0.0000)
Ba (0.0000, 0.0000, 0.5000)
Ba (0.5000, 0.5000, 0.5000)
Cd (0.1157, 0.6157, 0.5000)
Cd (0.3843, 0.1157, 0.5000)
Cd (0.6157, 0.8843, 0.5000)
Cd (0.8843, 0.3843, 0.5000)

Symmetry: P4/mbm
Fermi-level density of states in states/eV per cell: 5.1
Calculated formation energy in eV/atom: -0.04



What did the third record say?
Crystalline Rb2BaCd2 at its relaxed geometry, computed with PBE-GGA.

a = 9.0823 Å, b = 9.0823 Å, c = 6.0538 Å
α = 90.00°, β = 90.00°, γ = 90.00°
Fractional coordinates of all 10 atoms:
Rb (0.1706, 0.3294, 0.0000)
Rb (0.3294, 0.8294, 0.0000)
Rb (0.6706, 0.1706, 0.0000)
Rb (0.8294, 0.6706, 0.0000)
Ba (0.0000, 0.0000, 0.5000)
Ba (0.5000, 0.5000, 0.5000)
Cd (0.1157, 0.6157, 0.5000)
Cd (0.3843, 0.1157, 0.5000)
Cd (0.6157, 0.8843, 0.5000)
Cd (0.8843, 0.3843, 0.5000)

Symmetry: P4/mbm
Fermi-level density of states in states/eV per cell: 5.1
Calculated formation energy in eV/atom: -0.04



- What is the formula in the first record?
  RbBa2Cd



Please write out number 2 again, unchanged.
Crystalline RbBa2Cd at its relaxed geometry, computed with PBE-GGA.

a = 5.8364 Å, b = 5.8364 Å, c = 6.0051 Å
α = 90.00°, β = 90.00°, γ = 90.00°
Fractional coordinates of all 4 atoms:
Rb (0.0000, 0.0000, 0.0000)
Ba (0.0000, 0.5000, 0.5000)
Ba (0.5000, 0.0000, 0.5000)
Cd (0.5000, 0.5000, 0.0000)

Symmetry: P4/mmm
Fermi-level density of states in states/eV per cell: 5.6
Calculated formation energy in eV/atom: 0.08



- Which value of Fermi-level density of states does entry 3 give?
  5.1 states/eV per cell